Entry 1:
The following is a PBE calculation of an optimized crystal structure of LiEuCd2, from the Alexandria database.

## Properties
Final energy, eV per atom: -3.729

a b c (Å): 7.4459 7.4459 7.4459
angles (deg): 90.00 90.00 90.00
Last column: nearest neighbours and their distance in Å.
Positions (direct):
Li (0.0000, 0.0000, 0.0000)  8 Cd 3.22
Li (0.0000, 0.5000, 0.5000)  8 Cd 3.22
Li (0.5000, 0.0000, 0.5000)  8 Cd 3.22
Li (0.5000, 0.5000, 0.0000)  8 Cd 3.22
Eu (0.0000, 0.0000, 0.5000)  8 Cd 3.22
Eu (0.0000, 0.5000, 0.0000)  8 Cd 3.22
Eu (0.5000, 0.0000, 0.0000)  8 Cd 3.22
Eu (0.5000, 0.5000, 0.5000)  8 Cd 3.22
Cd (0.2500, 0.2500, 0.2500)  4 Eu 3.22, 4 Li 3.22
Cd (0.2500, 0.2500, 0.7500)  4 Li 3.22, 4 Eu 3.22
Cd (0.2500, 0.7500, 0.2500)  4 Li 3.22, 4 Eu 3.22
Cd (0.2500, 0.7500, 0.7500)  4 Li 3.22, 4 Eu 3.22
Cd (0.7500, 0.2500, 0.2500)  4 Li 3.22, 4 Eu 3.22
Cd (0.7500, 0.2500, 0.7500)  4 Li 3.22, 4 Eu 3.22
Cd (0.7500, 0.7500, 0.2500)  4 Li 3.22, 4 Eu 3.22
Cd (0.7500, 0.7500, 0.7500)  4 Li 3.22, 4 Eu 3.22

Entry 2:
The following is a PBE calculation of an optimized crystal structure of GaTcBiTe2, from the Alexandria database.

## Properties
Final energy, eV per atom: -4.223

a b c (Å): 5.3040 5.3040 5.3315
angles (deg): 90.00 90.00 90.00
Last column: nearest neighbours and their distance in Å.
Positions (direct):
Ga (0.0000, 0.0000, 0.0000)  4 Bi 3.75, 8 Te 3.76
Tc (0.5000, 0.5000, 0.5000)  4 Te 2.65, 2 Bi 2.67
Bi (0.5000, 0.5000, 0.0000)  2 Tc 2.67
Te (0.0000, 0.5000, 0.5000)  2 Tc 2.65
Te (0.5000, 0.0000, 0.5000)  2 Tc 2.65

Entry 3:
The following is a PBE calculation of an optimized crystal structure of Tb3CeEr4, from the Alexandria database.

## Properties
Final energy, eV per atom: -4.569

a b c (Å): 23.2368 3.4088 6.6818
angles (deg): 90.00 106.71 90.00
Last column: nearest neighbours and their distance in Å.
Positions (direct):
Tb (0.0000, 0.0000, 0.0000)  4 Tb 3.27-3.41, 2 Er 3.28
Tb (0.1252, 0.0000, 0.8686)  5 Er 3.24-3.50, 3 Tb 3.27-3.41
Tb (0.3748, 0.5000, 0.1314)  5 Er 3.24-3.50, 3 Tb 3.27-3.41
Tb (0.5000, 0.5000, 0.0000)  4 Tb 3.27-3.41, 2 Er 3.28
Tb (0.6252, 0.5000, 0.8686)  5 Er 3.24-3.50, 3 Tb 3.27-3.41
Tb (0.8748, 0.0000, 0.1314)  5 Er 3.24-3.50, 3 Tb 3.27-3.41
Ce (0.0000, 0.5000, 0.5000)  2 Ce 3.41, 4 Er 3.64, 8 Tb 3.65-3.75
Ce (0.5000, 0.0000, 0.5000)  2 Ce 3.41, 4 Er 3.64, 8 Tb 3.65-3.75
Er (0.1251, 0.0000, 0.3840)  3 Tb 3.24-3.44, 5 Er 3.41-3.48
Er (0.2409, 0.5000, 0.7382)  9 Er 3.41-3.80, 3 Tb 3.45-3.50
Er (0.2591, 0.0000, 0.2618)  9 Er 3.41-3.80, 3 Tb 3.45-3.50
Er (0.3749, 0.5000, 0.6160)  3 Tb 3.24-3.44, 5 Er 3.41-3.48
Er (0.6251, 0.5000, 0.3840)  3 Tb 3.24-3.44, 5 Er 3.41-3.48
Er (0.7409, 0.0000, 0.7382)  9 Er 3.41-3.80, 3 Tb 3.45-3.50
Er (0.7591, 0.5000, 0.2618)  9 Er 3.41-3.80, 3 Tb 3.45-3.50
Er (0.8749, 0.0000, 0.6160)  3 Tb 3.24-3.44, 5 Er 3.41-3.48

Entry 4:
The following is a PBE calculation of an optimized crystal structure of CsKGe2I8, from the Alexandria database.

## Properties
Final energy, eV per atom: -2.593

a b c (Å): 7.6916 7.6916 12.0150
angles (deg): 90.00 90.00 120.00
Last column: nearest neighbours and their distance in Å.
Positions (direct):
Cs (0.0000, 0.0000, 0.0000)  12 I 4.33-4.44
K (0.0000, 0.0000, 0.5000)  6 I 3.59
Ge (0.3333, 0.6667, 0.7677)  4 I 2.66-2.74
Ge (0.6667, 0.3333, 0.2323)  4 I 2.66-2.74
I (0.0136, 0.6740, 0.2904)  1 Ge 2.74
I (0.3260, 0.3396, 0.2904)  1 Ge 2.74
I (0.3333, 0.6667, 0.9894)  1 Ge 2.66
I (0.3396, 0.0136, 0.7096)  1 Ge 2.74
I (0.6604, 0.9864, 0.2904)  1 Ge 2.74
I (0.6667, 0.3333, 0.0106)  1 Ge 2.66
I (0.6740, 0.6604, 0.7096)  1 Ge 2.74
I (0.9864, 0.3260, 0.7096)  1 Ge 2.74

Entry 5:
The following is a PBE calculation of an optimized crystal structure of ZnIF2, from the Alexandria database.

## Properties
Final energy, eV per atom: -3.056

a b c (Å): 5.8001 5.8001 9.4328
angles (deg): 90.00 90.00 90.00
Last column: nearest neighbours and their distance in Å.
Positions (direct):
Zn (0.0000, 0.0000, 0.0000)  4 F 1.89
Zn (0.0000, 0.5000, 0.2500)  4 F 1.89
Zn (0.5000, 0.0000, 0.7500)  4 F 1.89
Zn (0.5000, 0.5000, 0.5000)  4 F 1.89
I (0.0000, 0.0000, 0.5000)  4 F 3.24
I (0.0000, 0.5000, 0.7500)  4 F 3.24
I (0.5000, 0.0000, 0.2500)  4 F 3.24
I (0.5000, 0.5000, 0.0000)  4 F 3.24
F (0.0434, 0.2500, 0.1250)  2 Zn 1.89
F (0.2500, 0.5434, 0.3750)  2 Zn 1.89
F (0.2500, 0.9566, 0.8750)  2 Zn 1.89
F (0.4566, 0.2500, 0.6250)  2 Zn 1.89
F (0.5434, 0.7500, 0.6250)  2 Zn 1.89
F (0.7500, 0.0434, 0.8750)  2 Zn 1.89
F (0.7500, 0.4566, 0.3750)  2 Zn 1.89
F (0.9566, 0.7500, 0.1250)  2 Zn 1.89

Entry 6:
The following is a PBE calculation of an optimized crystal structure of RbBa2W, from the Alexandria database.

## Properties
Final energy, eV per atom: -3.179

a b c (Å): 8.7310 8.7310 8.7310
angles (deg): 90.00 90.00 90.00
Last column: nearest neighbours and their distance in Å.
Positions (direct):
Rb (0.0000, 0.0000, 0.0000)  8 Ba 3.78
Rb (0.0000, 0.5000, 0.5000)  8 Ba 3.78
Rb (0.5000, 0.0000, 0.5000)  8 Ba 3.78
Rb (0.5000, 0.5000, 0.0000)  8 Ba 3.78
Ba (0.2500, 0.2500, 0.2500)  4 W 3.78, 4 Rb 3.78
Ba (0.2500, 0.2500, 0.7500)  4 W 3.78, 4 Rb 3.78
Ba (0.2500, 0.7500, 0.2500)  4 W 3.78, 4 Rb 3.78
Ba (0.2500, 0.7500, 0.7500)  4 W 3.78, 4 Rb 3.78
Ba (0.7500, 0.2500, 0.2500)  4 W 3.78, 4 Rb 3.78
Ba (0.7500, 0.2500, 0.7500)  4 W 3.78, 4 Rb 3.78
Ba (0.7500, 0.7500, 0.2500)  4 W 3.78, 4 Rb 3.78
Ba (0.7500, 0.7500, 0.7500)  4 W 3.78, 4 Rb 3.78
W (0.0000, 0.0000, 0.5000)  8 Ba 3.78
W (0.0000, 0.5000, 0.0000)  8 Ba 3.78
W (0.5000, 0.0000, 0.0000)  8 Ba 3.78
W (0.5000, 0.5000, 0.5000)  8 Ba 3.78

Entry 7:
The following is a PBE calculation of an optimized crystal structure of Cs2BaMnI6, from the Alexandria database.

## Properties
Final energy, eV per atom: -3.475

a b c (Å): 8.6046 8.6046 8.2445
angles (deg): 90.00 90.00 120.00
Last column: nearest neighbours and their distance in Å.
Positions (direct):
Cs (0.3333, 0.6667, 0.3389)  9 I 3.96-4.32
Cs (0.6667, 0.3333, 0.6611)  9 I 3.96-4.32
Ba (0.0000, 0.0000, 0.0000)  6 I 3.42
Mn (0.0000, 0.0000, 0.5000)  6 I 2.96
I (0.1625, 0.3250, 0.7063)  1 Mn 2.96
I (0.1625, 0.8375, 0.7063)  1 Mn 2.96
I (0.3250, 0.1625, 0.2937)  1 Mn 2.96
I (0.6750, 0.8375, 0.7063)  1 Mn 2.96
I (0.8375, 0.1625, 0.2937)  1 Mn 2.96
I (0.8375, 0.6750, 0.2937)  1 Mn 2.96

Entry 8:
The following is a PBE calculation of an optimized crystal structure of KMnW2, from the Alexandria database.

## Properties
Final energy, eV per atom: -7.520

a b c (Å): 5.4158 10.3712 2.6525
angles (deg): 90.00 90.00 90.00
Last column: nearest neighbours and their distance in Å.
Positions (direct):
K (0.0000, 0.0000, 0.0000)  2 K 2.65, 2 Mn 2.71
K (0.5000, 0.5000, 0.0000)  2 K 2.65, 2 Mn 2.71
Mn (0.0000, 0.5000, 0.0000)  2 Mn 2.65, 2 K 2.71
Mn (0.5000, 0.0000, 0.0000)  2 Mn 2.65, 2 K 2.71
W (0.2500, 0.2500, 0.5000)  4 W 2.65-2.71
W (0.2500, 0.7500, 0.5000)  4 W 2.65-2.71
W (0.7500, 0.2500, 0.5000)  4 W 2.65-2.71
W (0.7500, 0.7500, 0.5000)  4 W 2.65-2.71

Entry 9:
The following is a PBE calculation of an optimized crystal structure of ErZnPd2, from the Alexandria database.

## Properties
Final energy, eV per atom: -4.750

a b c (Å): 4.4649 4.4649 3.5559
angles (deg): 90.00 90.00 90.00
Last column: nearest neighbours and their distance in Å.
Positions (direct):
Er (0.0000, 0.0000, 0.0000)  8 Pd 2.85, 4 Zn 3.16
Zn (0.5000, 0.5000, 0.0000)  8 Pd 2.85, 4 Er 3.16
Pd (0.0000, 0.5000, 0.5000)  4 Er 2.85, 4 Zn 2.85, 4 Pd 3.16
Pd (0.5000, 0.0000, 0.5000)  4 Er 2.85, 4 Zn 2.85, 4 Pd 3.16

Entry 10:
The following is a PBE calculation of an optimized crystal structure of ZnCd2Ni, from the Alexandria database.

## Properties
Final energy, eV per atom: -2.192

a b c (Å): 2.9920 4.3057 5.4592
angles (deg): 90.00 105.60 90.00
Last column: nearest neighbours and their distance in Å.
Positions (direct):
Zn (0.0000, 0.0000, 0.0000)  2 Ni 2.49, 2 Cd 2.78
Cd (0.2806, 0.0000, 0.5539)  3 Zn 2.78-2.91, 4 Ni 2.84-2.85, 2 Cd 2.99
Cd (0.6154, 0.5000, 0.2236)  3 Ni 2.83-2.85, 4 Zn 2.86-2.88, 6 Cd 2.99-3.15
Ni (0.8867, 0.5000, 0.7622)  2 Zn 2.49

Entry 11:
The following is a PBE calculation of an optimized crystal structure of CrSnSe4, from the Alexandria database.

## Properties
Final energy, eV per atom: -4.950

a b c (Å): 12.4164 3.6241 6.6768
angles (deg): 90.00 99.44 90.00
Last column: nearest neighbours and their distance in Å.
Positions (direct):
Cr (0.0000, 0.0000, 0.0000)  6 Se 2.50-2.53
Cr (0.5000, 0.5000, 0.0000)  6 Se 2.50-2.53
Sn (0.0000, 0.5000, 0.5000)  6 Se 2.73-2.74
Sn (0.5000, 0.0000, 0.5000)  6 Se 2.73-2.74
Se (0.1180, 0.5000, 0.8831)  2 Cr 2.53, 1 Sn 2.73
Se (0.1258, 0.0000, 0.3335)  1 Cr 2.50, 2 Sn 2.74
Se (0.3742, 0.5000, 0.6665)  1 Cr 2.50, 2 Sn 2.74
Se (0.3820, 0.0000, 0.1169)  2 Cr 2.53, 1 Sn 2.73
Se (0.6180, 0.0000, 0.8831)  2 Cr 2.53, 1 Sn 2.73
Se (0.6258, 0.5000, 0.3335)  1 Cr 2.50, 2 Sn 2.74
Se (0.8742, 0.0000, 0.6665)  1 Cr 2.50, 2 Sn 2.74
Se (0.8820, 0.5000, 0.1169)  2 Cr 2.53, 1 Sn 2.73

Entry 12:
The following is a PBE calculation of an optimized crystal structure of La12Rh3C5, from the Alexandria database.

## Properties
Final energy, eV per atom: -6.536

a b c (Å): 14.0450 14.0450 14.0450
angles (deg): 109.47 109.47 109.47
Last column: nearest neighbours and their distance in Å.
Positions (direct):
La (0.0287, 0.2067, 0.1255)  2 C 2.43-2.65
La (0.0287, 0.3220, 0.9033)  2 C 2.43-2.65
La (0.0812, 0.7067, 0.6780)  2 C 2.43-2.65
La (0.0812, 0.8745, 0.4033)  2 C 2.43-2.65
La (0.0967, 0.6255, 0.4188)  2 C 2.43-2.65
La (0.0967, 0.9713, 0.6780)  2 C 2.43-2.65
La (0.1255, 0.0287, 0.2067)  2 C 2.43-2.65
La (0.1255, 0.5967, 0.9188)  2 C 2.43-2.65
La (0.1780, 0.2067, 0.5812)  2 C 2.43-2.65
La (0.1780, 0.4713, 0.5967)  2 C 2.43-2.65
La (0.2067, 0.1255, 0.0287)  2 C 2.43-2.65
La (0.2067, 0.5812, 0.1780)  2 C 2.43-2.65
La (0.2933, 0.3220, 0.9188)  2 C 2.43-2.65
La (0.2933, 0.4713, 0.3745)  2 C 2.43-2.65
La (0.3220, 0.9033, 0.0287)  2 C 2.43-2.65
La (0.3220, 0.9188, 0.2933)  2 C 2.43-2.65
La (0.3745, 0.2933, 0.4713)  2 C 2.43-2.65
La (0.3745, 0.5812, 0.9033)  2 C 2.43-2.65
La (0.4033, 0.0812, 0.8745)  2 C 2.43-2.65
La (0.4033, 0.8220, 0.5287)  2 C 2.43-2.65
La (0.4188, 0.0967, 0.6255)  2 C 2.43-2.65
La (0.4188, 0.8220, 0.7933)  2 C 2.43-2.65
La (0.4713, 0.3745, 0.2933)  2 C 2.43-2.65
La (0.4713, 0.5967, 0.1780)  2 C 2.43-2.65
La (0.5287, 0.4033, 0.8220)  2 C 2.43-2.65
La (0.5287, 0.6255, 0.7067)  2 C 2.43-2.65
La (0.5812, 0.1780, 0.2067)  2 C 2.43-2.65
La (0.5812, 0.9033, 0.3745)  2 C 2.43-2.65
La (0.5967, 0.1780, 0.4713)  2 C 2.43-2.65
La (0.5967, 0.9188, 0.1255)  2 C 2.43-2.65
La (0.6255, 0.4188, 0.0967)  2 C 2.43-2.65
La (0.6255, 0.7067, 0.5287)  2 C 2.43-2.65
La (0.6780, 0.0812, 0.7067)  2 C 2.43-2.65
La (0.6780, 0.0967, 0.9713)  2 C 2.43-2.65
La (0.7067, 0.5287, 0.6255)  2 C 2.43-2.65
La (0.7067, 0.6780, 0.0812)  2 C 2.43-2.65
La (0.7933, 0.4188, 0.8220)  2 C 2.43-2.65
La (0.7933, 0.8745, 0.9713)  2 C 2.43-2.65
La (0.8220, 0.5287, 0.4033)  2 C 2.43-2.65
La (0.8220, 0.7933, 0.4188)  2 C 2.43-2.65
La (0.8745, 0.4033, 0.0812)  2 C 2.43-2.65
La (0.8745, 0.9713, 0.7933)  2 C 2.43-2.65
La (0.9033, 0.0287, 0.3220)  2 C 2.43-2.65
La (0.9033, 0.3745, 0.5812)  2 C 2.43-2.65
La (0.9188, 0.1255, 0.5967)  2 C 2.43-2.65
La (0.9188, 0.2933, 0.3220)  2 C 2.43-2.65
La (0.9713, 0.6780, 0.0967)  2 C 2.43-2.65
La (0.9713, 0.7933, 0.8745)  2 C 2.43-2.65
Rh (0.1250, 0.2500, 0.3750)  8 La 3.06-3.22
Rh (0.1250, 0.3750, 0.7500)  8 La 3.06-3.22
Rh (0.2500, 0.3750, 0.1250)  8 La 3.06-3.22
Rh (0.2500, 0.8750, 0.6250)  8 La 3.06-3.22
Rh (0.3750, 0.1250, 0.2500)  8 La 3.06-3.22
Rh (0.3750, 0.7500, 0.1250)  8 La 3.06-3.22
Rh (0.6250, 0.2500, 0.8750)  8 La 3.06-3.22
Rh (0.6250, 0.8750, 0.7500)  8 La 3.06-3.22
Rh (0.7500, 0.1250, 0.3750)  8 La 3.06-3.22
Rh (0.7500, 0.6250, 0.8750)  8 La 3.06-3.22
Rh (0.8750, 0.6250, 0.2500)  8 La 3.06-3.22
Rh (0.8750, 0.7500, 0.6250)  8 La 3.06-3.22
C (0.0000, 0.0000, 0.0000)  6 La 2.65
C (0.0000, 0.0000, 0.5000)  6 La 2.65
C (0.0000, 0.5000, 0.0000)  6 La 2.65
C (0.0000, 0.5000, 0.5000)  6 La 2.65
C (0.1250, 0.7500, 0.8750)  4 La 2.43
C (0.1250, 0.8750, 0.2500)  4 La 2.43
C (0.2500, 0.1250, 0.8750)  4 La 2.43
C (0.2500, 0.6250, 0.3750)  4 La 2.43
C (0.3750, 0.2500, 0.6250)  4 La 2.43
C (0.3750, 0.6250, 0.7500)  4 La 2.43
C (0.5000, 0.0000, 0.0000)  6 La 2.65
C (0.5000, 0.0000, 0.5000)  6 La 2.65
C (0.5000, 0.5000, 0.0000)  6 La 2.65
C (0.5000, 0.5000, 0.5000)  6 La 2.65
C (0.6250, 0.3750, 0.2500)  4 La 2.43
C (0.6250, 0.7500, 0.3750)  4 La 2.43
C (0.7500, 0.3750, 0.6250)  4 La 2.43
C (0.7500, 0.8750, 0.1250)  4 La 2.43
C (0.8750, 0.1250, 0.7500)  4 La 2.43
C (0.8750, 0.2500, 0.1250)  4 La 2.43